No. 1
## B2MoH6 (PBE-GGA)

Data for B2MoH6 after structural relaxation.

Cell lengths 3.6455, 7.8617, 3.7238 Å; angles 82.00, 69.98, 43.32 degrees
Atoms (fractional coordinates):
H 0.2411 0.7193 0.2316
H 0.7948 0.2452 0.2744
H 0.2052 0.7548 0.7256
H 0.7589 0.2807 0.7684
H 0.2277 0.2808 0.3052
H 0.7723 0.7192 0.6948
Mo 0.0000 0.0000 0.0000
B 0.8316 0.8628 0.5611
B 0.1684 0.1372 0.4389

Output
- Total magnetic moment: 0.00 μB per formula unit
- Energy above the lowest structure with this stoichiometry: 0 meV per atom
- Symmetry: P-1, No. 2

No. 2
## Ba2HgPd3Au12 (PBE-GGA)

Data for Ba2HgPd3Au12 after structural relaxation.

Cell lengths 8.6217, 8.6217, 8.6217 Å; angles 64.45, 64.45, 64.45 degrees
Atoms (fractional coordinates):
Ba 0.6131 0.6131 0.6131
Ba 0.3869 0.3869 0.3869
Hg 0.0000 0.0000 0.0000
Pd 0.5000 0.0000 0.0000
Pd 0.0000 0.5000 0.0000
Pd 0.0000 0.0000 0.5000
Au 0.3449 0.3449 0.0055
Au 0.8717 0.8717 0.3587
Au 0.3587 0.8717 0.8717
Au 0.0055 0.3449 0.3449
Au 0.8717 0.3587 0.8717
Au 0.3449 0.0055 0.3449
Au 0.6551 0.6551 0.9945
Au 0.1283 0.1283 0.6413
Au 0.6413 0.1283 0.1283
Au 0.9945 0.6551 0.6551
Au 0.1283 0.6413 0.1283
Au 0.6551 0.9945 0.6551

Output
- Total magnetic moment: 0.00 μB per formula unit
- ΔH_f (0 K): 0.12 eV per formula unit
- Symmetry: R-3m, No. 166

| no. | final energy (eV/atom) |
| --- | --- |
| 1 | -4.78 |
| 2 | -3.27 |